## SrHBrO (GGA-PBE)

Data for a geometry-optimized SrHBrO structure.

Calculated values
The total moment comes out at 0.000 μB/atom. As for the raw total energy: -4.91 eV/atom.

a b c (Å): 4.1902 4.1902 5.4016
angles (deg): 90.00 90.00 120.00
With the nearest neighbours (Å) after each atom.
Element x y z (fractional)
Sr 0.0000 0.0000 0.0000  3 O 2.51
H 0.3333 0.6667 0.3056  1 O 0.98
Br 0.6667 0.3333 0.6151  3 H 2.94, 3 Sr 3.19
O 0.3333 0.6667 0.1243  1 H 0.98